Density functional theory data (PBE) for a relaxed structure of LuCuGe2.

Cell and atoms, written as POSCAR:
```
LuCuGe2
1.0
-3.993 -0.011 -0.653
0.135 -4.120 -0.755
-0.663 -0.767 4.067
Ge Lu Cu
2 1 1
Cartesian
0.067 -2.060 -0.378
-0.331 -0.384 2.033
-1.997 -0.005 -0.326
-2.261 -2.449 1.329
```

Summary:
The value obtained for the final energy is -19.29 eV per cell. The calculation puts the formation energy at -0.3586 eV/atom. For the density of states at the Fermi level, the calculation gives 1.53 states/eV/f.u.